[1]
# BiRhSe2

A relaxed structure of BiRhSe2 (GGA-PBE, Alexandria via LeMat-Bulk).

Cell lengths 6.4124, 6.4124, 7.1312 Å; angles 63.28, 63.28, 90.00 degrees
With the nearest neighbours (Å) after each atom.
Atoms (fractional coordinates):
Rh 0.5000 0.5000 0.0000  4 Se 2.42
Rh 0.2500 0.7500 0.5000  4 Se 2.42
Se 0.3750 0.4420 0.7500  2 Rh 2.42
Se 0.8750 0.8080 0.7500  2 Rh 2.42
Se 0.1920 0.6250 0.2500  2 Rh 2.42
Se 0.5580 0.1250 0.2500  2 Rh 2.42
Bi 0.0000 0.0000 0.0000  4 Se 2.93
Bi 0.7500 0.2500 0.5000  4 Se 2.93

E (eV per atom): -4.59
Uncorrected formation energy (eV/atom): -0.040
Total magnetization (μB per formula unit): 0.00

---

[2]
# CrSbBr2

A relaxed structure of CrSbBr2 (GGA-PBE, Alexandria via LeMat-Bulk).

Cell lengths 6.9522, 6.9522, 6.9172 Å; angles 59.83, 59.83, 90.00 degrees
With the nearest neighbours (Å) after each atom.
Atoms (fractional coordinates):
Br 0.5122 0.1250 0.2500  2 Cr 2.33
Br 0.8750 0.7622 0.7500  2 Cr 2.33
Br 0.2378 0.6250 0.2500  2 Cr 2.33
Br 0.3750 0.4878 0.7500  2 Cr 2.33
Cr 0.5000 0.5000 0.0000  4 Br 2.33
Cr 0.2500 0.7500 0.5000  4 Br 2.33
Sb 0.7500 0.2500 0.5000  4 Br 3.30
Sb 0.0000 0.0000 0.0000  4 Br 3.30

E (eV per atom): -3.60
Uncorrected formation energy (eV/atom): 0.677
Total magnetization (μB per formula unit): 0.00

---

[3]
# GeAsPd3

A relaxed structure of GeAsPd3 (GGA-PBE, Alexandria via LeMat-Bulk).

Cell lengths 3.9833, 7.4141, 6.1417 Å; angles 90.00, 90.00, 90.00 degrees
With the nearest neighbours (Å) after each atom.
Atoms (fractional coordinates):
Ge 0.0000 0.6455 0.3297  6 Pd 2.47-2.65
Ge 0.0000 0.3545 0.8297  6 Pd 2.47-2.65
Pd 0.0000 0.6872 0.9005  2 As 2.50, 2 Ge 2.50-2.65
Pd 0.0000 0.3128 0.4005  2 As 2.50, 2 Ge 2.50-2.65
Pd 0.5000 0.8073 0.1943  2 As 2.46-2.50, 2 Ge 2.47
Pd 0.5000 0.5796 0.5846  1 As 2.52, 2 Ge 2.58
Pd 0.5000 0.4204 0.0846  1 As 2.52, 2 Ge 2.58
Pd 0.5000 0.1927 0.6943  2 As 2.46-2.50, 2 Ge 2.47
As 0.5000 0.1281 0.2954  5 Pd 2.46-2.52
As 0.5000 0.8719 0.7954  5 Pd 2.46-2.52

Formation enthalpy at 0 K (eV per atom): -0.370
E (eV per atom): -5.34
Total magnetization (μB per formula unit): 0.00

---

[4]
# Rb3AlAu4

A relaxed structure of Rb3AlAu4 (GGA-PBE, Alexandria via LeMat-Bulk).

Cell lengths 6.9938, 6.9938, 6.9938 Å; angles 104.77, 102.04, 122.44 degrees
With the nearest neighbours (Å) after each atom.
Atoms (fractional coordinates):
Al 0.0218 0.5000 0.5218  4 Au 2.53-2.55
Rb 0.9076 0.0000 0.9076  2 Au 3.36, 2 Rb 3.68
Rb 0.5825 0.7280 0.3105  7 Au 3.43-3.54, 1 Rb 3.68
Rb 0.5825 0.2720 0.8545  7 Au 3.43-3.54, 1 Rb 3.68
Au 0.5457 0.2102 0.3355  1 Al 2.55, 1 Au 2.83
Au 0.1929 0.2617 0.4546  1 Al 2.53
Au 0.1929 0.7383 0.9312  1 Al 2.53
Au 0.1253 0.7898 0.3355  1 Al 2.55, 1 Au 2.83

Formation enthalpy at 0 K (eV per atom): -0.291
E (eV per atom): -2.76
Total magnetization (μB per formula unit): 0.00

---

[5]
# Zr6AlH

A relaxed structure of Zr6AlH (GGA-PBE, Alexandria via LeMat-Bulk).

Cell lengths 5.4610, 6.7698, 5.5375 Å; angles 73.81, 82.41, 53.34 degrees
With the nearest neighbours (Å) after each atom.
Atoms (fractional coordinates):
Zr 0.4428 0.7492 0.8961  1 H 2.08
Zr 0.0905 0.3229 0.7536  1 H 2.52
Zr 0.1599 0.0863 0.3215  1 H 2.42
Zr 0.8401 0.9137 0.6785  1 H 2.42
Zr 0.5572 0.2508 0.1039  1 H 2.08
Zr 0.9095 0.6771 0.2464  1 H 2.52
H 0.0000 0.0000 0.0000  2 Zr 2.08
Al 0.5000 0.5000 0.5000  12 Zr 3.00-3.26

E (eV per atom): -7.43
Total magnetization (μB per formula unit): 0.00

---

[6]
# Ca2TiAlZn

A relaxed structure of Ca2TiAlZn (GGA-PBE, Alexandria via LeMat-Bulk).

Cell lengths 5.7412, 5.0177, 5.7412 Å; angles 90.00, 90.00, 90.00 degrees
With the nearest neighbours (Å) after each atom.
Atoms (fractional coordinates):
Ca 0.0000 0.0000 0.5000  2 Ti 2.87
Ca 0.5000 0.0000 0.0000  2 Ti 2.87
Al 0.0000 0.5000 0.0000  2 Ti 2.51
Zn 0.5000 0.5000 0.5000  8 Ca 3.81, 4 Al 4.06
Ti 0.0000 0.0000 0.0000  2 Al 2.51

Formation enthalpy at 0 K (eV per atom): 0.750
E (eV per atom): -2.63
Total magnetization (μB per formula unit): 3.00

---

[7]
# TaBe2BiF

A relaxed structure of TaBe2BiF (GGA-PBE, Alexandria via LeMat-Bulk).

Cell lengths 3.9746, 4.7769, 3.9746 Å; angles 90.00, 90.00, 90.00 degrees
With the nearest neighbours (Å) after each atom.
Atoms (fractional coordinates):
Be 0.0000 0.0000 0.5000  2 F 1.99
Be 0.5000 0.0000 0.0000  2 F 1.99
F 0.0000 0.0000 0.0000  4 Be 1.99
Bi 0.0000 0.5000 0.0000  2 F 2.39
Ta 0.5000 0.5000 0.5000  4 Bi 2.81, 8 Be 3.11

E (eV per atom): -4.68
Uncorrected formation energy (eV/atom): 0.336
Total magnetization (μB per formula unit): 0.00

---

[8]
# Y2Ni4Ge3Pt

A relaxed structure of Y2Ni4Ge3Pt (GGA-PBE, Alexandria via LeMat-Bulk).

Cell lengths 4.0160, 4.0160, 10.1358 Å; angles 90.00, 90.00, 90.00 degrees
With the nearest neighbours (Å) after each atom.
Atoms (fractional coordinates):
Ge 0.0000 0.0000 0.5000  4 Ni 2.49
Ge 0.0000 0.5000 0.1258  5 Ni 2.31-2.38
Ge 0.5000 0.0000 0.8742  5 Ni 2.31-2.38
Ni 0.5000 0.0000 0.6458  3 Ge 2.31-2.49, 2 Pt 2.49
Ni 0.0000 0.5000 0.3542  3 Ge 2.31-2.49, 2 Pt 2.49
Ni 0.5000 0.5000 0.0000  4 Ge 2.38
Ni 0.0000 0.0000 0.0000  4 Ge 2.38
Pt 0.5000 0.5000 0.5000  4 Ni 2.49
Y 0.5000 0.0000 0.2507  8 Ni 3.03-3.24, 6 Ge 3.11-3.23, 2 Pt 3.23
Y 0.0000 0.5000 0.7493  8 Ni 3.03-3.24, 6 Ge 3.11-3.23, 2 Pt 3.23

Formation enthalpy at 0 K (eV per atom): -0.665
E (eV per atom): -6.26
Total magnetization (μB per formula unit): 0.00

---

[9]
# Ho4TlAg2Au

A relaxed structure of Ho4TlAg2Au (GGA-PBE, Alexandria via LeMat-Bulk).

Cell lengths 5.1617, 5.1617, 8.9462 Å; angles 73.23, 73.23, 60.00 degrees
With the nearest neighbours (Å) after each atom.
Atoms (fractional coordinates):
Ho 0.6197 0.6197 0.1409  1 Au 3.03, 4 Ag 3.09-3.18, 3 Tl 3.21
Ho 0.8703 0.8703 0.3890  3 Au 3.12, 4 Ag 3.16-3.25, 1 Tl 3.28
Ho 0.3803 0.3803 0.8591  1 Au 3.03, 4 Ag 3.09-3.18, 3 Tl 3.21
Ho 0.1297 0.1297 0.6110  3 Au 3.12, 4 Ag 3.16-3.25, 1 Tl 3.28
Au 0.5000 0.5000 0.5000  8 Ho 3.03-3.12
Ag 0.2547 0.2547 0.2359  8 Ho 3.09-3.25
Ag 0.7453 0.7453 0.7641  8 Ho 3.09-3.25
Tl 0.0000 0.0000 0.0000  8 Ho 3.21-3.28, 6 Ag 3.58

Formation enthalpy at 0 K (eV per atom): -0.470
E (eV per atom): -4.18
Total magnetization (μB per formula unit): 0.00

---

[10]
# UPH2Ru

A relaxed structure of UPH2Ru (GGA-PBE, Alexandria via LeMat-Bulk).

Cell lengths 3.8285, 5.5227, 5.7131 Å; angles 90.00, 90.00, 110.28 degrees
With the nearest neighbours (Å) after each atom.
Atoms (fractional coordinates):
U 0.2840 0.5681 0.2500  6 H 2.20-2.23
U 0.7160 0.4319 0.7500  6 H 2.20-2.23
Ru 0.0000 0.0000 0.0000  2 H 1.78
Ru 0.0000 0.0000 0.5000  2 H 1.78
H 0.8331 0.6662 0.4289  1 Ru 1.78
H 0.1669 0.3338 0.5711  1 Ru 1.78
H 0.1669 0.3338 0.9289  1 Ru 1.78
H 0.8331 0.6662 0.0711  1 Ru 1.78
P 0.5733 0.1465 0.2500  4 Ru 2.51
P 0.4267 0.8535 0.7500  4 Ru 2.51

E (eV per atom): -7.00
Total magnetization (μB per formula unit): 2.44

---

[11]
# TaCd2Mo

A relaxed structure of TaCd2Mo (GGA-PBE, Alexandria via LeMat-Bulk).

Cell lengths 4.6281, 2.8551, 5.6801 Å; angles 84.08, 90.00, 90.00 degrees
With the nearest neighbours (Å) after each atom.
Atoms (fractional coordinates):
Mo 0.0000 0.5229 0.5081  2 Ta 2.75, 2 Mo 2.86, 3 Cd 2.86-2.98
Ta 0.5000 0.7204 0.7410  2 Mo 2.75, 2 Ta 2.86, 3 Cd 2.86-3.00
Cd 0.0000 0.1213 0.9900  4 Cd 2.78-2.86, 1 Mo 2.86, 2 Ta 3.00
Cd 0.5000 0.1354 0.2610  4 Cd 2.78-2.86, 1 Ta 2.86, 2 Mo 2.98

Formation enthalpy at 0 K (eV per atom): 0.333
E (eV per atom): -5.80
Total magnetization (μB per formula unit): 0.00